# 1
The following is a GGA-PBE calculation of an optimized crystal structure of Sr2ZnHg3, from Alexandria via LeMat-Bulk.

Results
volume: 343 Å³/cell
spin magnetization: 0.0 μB/f.u.
energy relative to the elements: -2.63 eV per formula unit

abc: 6.389 6.389 9.917
angles: 112.91 112.91 77.96
Fractional positions:
Sr 0.750 0.250 0.500
Sr 0.755 0.245 0.000
Sr 0.250 0.750 0.500
Sr 0.245 0.755 0.000
Zn 0.666 0.666 0.333
Zn 0.334 0.334 0.667
Hg 0.826 0.826 0.173
Hg 0.653 0.653 0.827
Hg 0.174 0.174 0.827
Hg 0.347 0.347 0.173
Hg 0.173 0.173 0.346
Hg 0.827 0.827 0.654

---

# 2
The following is a GGA-PBE calculation of an optimized crystal structure of BeIn2Br, from Alexandria via LeMat-Bulk.

Results
volume: 107 Å³/cell
spin magnetization: 0.0 μB/f.u.
uncorrected formation energy: 0.116 eV per atom
offset from the most stable computed form: 11.06 kJ/mol of atoms

abc: 5.084 4.160 5.079
angles: 89.99 90.00 90.00
Fractional positions:
Be 0.000 0.250 0.376
Br 0.500 0.750 0.875
In 0.000 0.224 0.875
In 0.500 0.276 0.374

---

# 3
The following is a GGA-PBE calculation of an optimized crystal structure of PrAl6Pt12, from Alexandria via LeMat-Bulk.

Results
volume: 321 Å³/cell
spin magnetization: 0.0 μB/f.u.
energy relative to the elements: -15.83 eV per formula unit

abc: 7.238 7.238 7.238
angles: 106.33 106.33 106.33
Fractional positions:
Pr 0.000 0.000 0.000
Al 0.707 0.272 0.272
Al 0.272 0.272 0.707
Al 0.272 0.707 0.272
Al 0.728 0.728 0.293
Al 0.293 0.728 0.728
Al 0.728 0.293 0.728
Pt 0.878 0.122 0.500
Pt 0.842 0.601 0.601
Pt 0.601 0.601 0.842
Pt 0.399 0.158 0.399
Pt 0.399 0.399 0.158
Pt 0.158 0.399 0.399
Pt 0.122 0.500 0.878
Pt 0.500 0.878 0.122
Pt 0.122 0.878 0.500
Pt 0.878 0.500 0.122
Pt 0.500 0.122 0.878
Pt 0.601 0.842 0.601

---

# 4
The following is a GGA-PBE calculation of an optimized crystal structure of Rb2MoPbBr6, from Alexandria via LeMat-Bulk.

Results
volume: 372 Å³/cell
spin magnetization: 4.0 μB/f.u.
uncorrected formation energy: -0.958 eV per atom

abc: 8.067 8.067 8.077
angles: 60.04 60.04 90.00
Site moments in Bohr magnetons follow the coordinates.
Fractional positions:
Pb 0.000 0.000 0.000  0.14
Mo 0.500 0.500 0.000  3.01
Br 0.264 0.264 0.472  0.01
Br 0.736 0.736 0.528  0.01
Br 0.265 0.265 0.000  0.02
Br 0.735 0.735 0.000  0.02
Br 0.735 0.265 0.000  0.02
Br 0.265 0.735 0.000  0.02
Rb 0.750 0.250 0.500  0.00
Rb 0.250 0.750 0.500  0.00